# Ho4AgPd3, optimized geometry, DFT GGA-PBE
# Distance to the lowest polymorph of the same formula ... 0 meV/atom
# ΔE_f ... -6.20 eV per formula unit
data_Ho4AgPd3
_chemical_formula_sum 'Ho4 Ag1 Pd3'
_cell_length_a 3.7075
_cell_length_b 4.6470
_cell_length_c 10.5467
_cell_angle_alpha 90.00
_cell_angle_beta 90.00
_cell_angle_gamma 90.00
_symmetry_space_group_name_H-M 'P m m 2'
_symmetry_Int_Tables_number 25
loop_
_symmetry_equiv_pos_as_xyz
'x,y,z'
'-x,-y,z'
'-x,y,z'
'x,-y,z'
loop_
_atom_site_label
_atom_site_type_symbol
_atom_site_fract_x
_atom_site_fract_y
_atom_site_fract_z
Ho1 Ho 0.0000 0.0000 0.0000
Ho2 Ho 0.0000 0.5000 0.2668
Ho3 Ho 0.5000 0.0000 0.4839
Ho4 Ho 0.5000 0.5000 0.7707
Ag1 Ag 0.0000 0.0000 0.7125
Pd1 Pd 0.0000 0.5000 0.5448
Pd2 Pd 0.5000 0.0000 0.2160
Pd3 Pd 0.5000 0.5000 0.0431

# SrLa5Nd6, optimized geometry, DFT GGA-PBE
# ΔE_f ... 0.61 eV per formula unit
data_SrLa5Nd6
_chemical_formula_sum 'Sr2 La10 Nd12'
_cell_length_a 12.3695
_cell_length_b 11.2471
_cell_length_c 6.4914
_cell_angle_alpha 90.00
_cell_angle_beta 100.01
_cell_angle_gamma 90.00
_symmetry_space_group_name_H-M 'C 1 2/m 1'
_symmetry_Int_Tables_number 12
loop_
_symmetry_equiv_pos_as_xyz
'x,y,z'
'-x,-y,-z'
'-x,y,-z'
'x,-y,z'
'x+1/2,y+1/2,z'
'-x+1/2,-y+1/2,-z'
'-x+1/2,y+1/2,-z'
'x+1/2,-y+1/2,z'
loop_
_atom_site_label
_atom_site_type_symbol
_atom_site_fract_x
_atom_site_fract_y
_atom_site_fract_z
Sr1 Sr 0.0000 0.0000 0.0000
La1 La 0.0000 0.1749 0.5000
La2 La 0.0000 0.3396 0.0000
La3 La 0.0000 0.5000 0.5000
Nd1 Nd 0.2440 0.3290 0.7459
Nd2 Nd 0.2466 0.5000 0.2594

# HgP2Ru, optimized geometry, DFT GGA-PBE
# ΔE_f ... 0.02 eV per formula unit
data_HgP2Ru
_chemical_formula_sum 'Hg1 P2 Ru1'
_cell_length_a 2.8673
_cell_length_b 2.8673
_cell_length_c 9.3696
_cell_angle_alpha 90.00
_cell_angle_beta 90.00
_cell_angle_gamma 90.00
_symmetry_space_group_name_H-M 'P 4/m m m'
_symmetry_Int_Tables_number 123
_symmetry_space_group_name_Hall '-P 4 2'
loop_
_atom_site_label
_atom_site_type_symbol
_atom_site_fract_x
_atom_site_fract_y
_atom_site_fract_z
Hg1 Hg 0.0000 0.0000 0.0000
P1 P 0.5000 0.5000 0.3394
Ru1 Ru 0.0000 0.0000 0.5000

# CdCoCu2, optimized geometry, DFT GGA-PBE
# ΔE_f ... 1.00 eV per formula unit
data_CdCoCu2
_chemical_formula_sum 'Cd2 Co2 Cu4'
_cell_length_a 3.8573
_cell_length_b 3.8573
_cell_length_c 7.4334
_cell_angle_alpha 90.00
_cell_angle_beta 90.00
_cell_angle_gamma 90.00
_symmetry_space_group_name_H-M 'I 4/m m m'
_symmetry_Int_Tables_number 139
_symmetry_space_group_name_Hall '-I 4 2'
loop_
_atom_site_label
_atom_site_type_symbol
_atom_site_fract_x
_atom_site_fract_y
_atom_site_fract_z
Cd1 Cd 0.0000 0.0000 0.0000
Co1 Co 0.0000 0.0000 0.5000
Cu1 Cu 0.0000 0.5000 0.2500

# Pm3Sm2Er8, optimized geometry, DFT GGA-PBE
# Distance to the lowest polymorph of the same formula ... 0 meV/atom
# ΔE_f ... 3.06 eV per formula unit
data_Pm3Sm2Er8
_chemical_formula_sum 'Pm6 Sm4 Er16'
_cell_length_a 14.6265
_cell_length_b 9.1434
_cell_length_c 6.9108
_cell_angle_alpha 90.00
_cell_angle_beta 108.76
_cell_angle_gamma 90.00
_symmetry_space_group_name_H-M 'C 1 2/m 1'
_symmetry_Int_Tables_number 12
loop_
_symmetry_equiv_pos_as_xyz
'x,y,z'
'-x,-y,-z'
'-x,y,-z'
'x,-y,z'
'x+1/2,y+1/2,z'
'-x+1/2,-y+1/2,-z'
'-x+1/2,y+1/2,-z'
'x+1/2,-y+1/2,z'
loop_
_atom_site_label
_atom_site_type_symbol
_atom_site_fract_x
_atom_site_fract_y
_atom_site_fract_z
Pm1 Pm 0.0000 0.0000 0.0000
Pm2 Pm 0.0000 0.1765 0.5000
Sm1 Sm 0.2189 0.0000 0.4221
Er1 Er 0.0811 0.5000 0.7334
Er2 Er 0.1185 0.3192 0.1741
Er3 Er 0.1925 0.0000 0.8962

# MgGaRu3, optimized geometry, DFT GGA-PBE
# Distance to the lowest polymorph of the same formula ... 549 meV/atom
# ΔE_f ... 7.89 eV per formula unit
data_MgGaRu3
_chemical_formula_sum 'Mg1 Ga1 Ru3'
_cell_length_a 4.4981
_cell_length_b 4.4981
_cell_length_c 4.4981
_cell_angle_alpha 90.00
_cell_angle_beta 90.00
_cell_angle_gamma 90.00
_symmetry_space_group_name_H-M 'P m -3 m'
_symmetry_Int_Tables_number 221
_symmetry_space_group_name_Hall '-P 4 2 3'
loop_
_atom_site_label
_atom_site_type_symbol
_atom_site_fract_x
_atom_site_fract_y
_atom_site_fract_z
Mg1 Mg 0.0000 0.0000 0.0000
Ga1 Ga 0.5000 0.5000 0.5000
Ru1 Ru 0.0000 0.0000 0.5000

# CoReW2C, optimized geometry, DFT GGA-PBE
# ΔE_f ... 11.13 eV per formula unit
data_CoReW2C
_chemical_formula_sum 'Co1 Re1 W2 C1'
_cell_length_a 4.8625
_cell_length_b 4.8625
_cell_length_c 3.8276
_cell_angle_alpha 90.00
_cell_angle_beta 90.00
_cell_angle_gamma 90.00
_symmetry_space_group_name_H-M 'P 4/m m m'
_symmetry_Int_Tables_number 123
_symmetry_space_group_name_Hall '-P 4 2'
loop_
_atom_site_label
_atom_site_type_symbol
_atom_site_fract_x
_atom_site_fract_y
_atom_site_fract_z
Co1 Co 0.0000 0.0000 0.0000
Re1 Re 0.5000 0.5000 0.5000
W1 W 0.0000 0.5000 0.5000
C1 C 0.5000 0.5000 0.0000

# CaTi2MnS, optimized geometry, DFT GGA-PBE
# ΔE_f (raw) ... 0.2714 eV/atom
data_CaTi2MnS
_chemical_formula_sum 'Ca1 Ti2 Mn1 S1'
_cell_length_a 4.4976
_cell_length_b 4.4976
_cell_length_c 5.0562
_cell_angle_alpha 90.00
_cell_angle_beta 90.00
_cell_angle_gamma 90.00
_symmetry_space_group_name_H-M 'P 4/m m m'
_symmetry_Int_Tables_number 123
_symmetry_space_group_name_Hall '-P 4 2'
loop_
_atom_site_label
_atom_site_type_symbol
_atom_site_fract_x
_atom_site_fract_y
_atom_site_fract_z
Ca1 Ca 0.0000 0.0000 0.0000
Ti1 Ti 0.0000 0.5000 0.5000
Mn1 Mn 0.5000 0.5000 0.0000
S1 S 0.0000 0.0000 0.5000

# MgZn2Pb, optimized geometry, DFT GGA-PBE
# Distance to the lowest polymorph of the same formula ... 41 meV/atom
# ΔE_f ... 0.33 eV per formula unit
data_MgZn2Pb
_chemical_formula_sum 'Mg2 Zn4 Pb2'
_cell_length_a 5.9956
_cell_length_b 8.3969
_cell_length_c 3.3931
_cell_angle_alpha 90.00
_cell_angle_beta 90.00
_cell_angle_gamma 90.00
_symmetry_space_group_name_H-M 'C m m m'
_symmetry_Int_Tables_number 65
_symmetry_space_group_name_Hall '-C 2 2'
loop_
_atom_site_label
_atom_site_type_symbol
_atom_site_fract_x
_atom_site_fract_y
_atom_site_fract_z
Mg1 Mg 0.0000 0.0000 0.0000
Zn1 Zn 0.2500 0.2500 0.5000
Pb1 Pb 0.0000 0.5000 0.0000

# LaCuSiTe2, optimized geometry, DFT GGA-PBE
# ΔE_f (raw) ... -0.3378 eV/atom
data_LaCuSiTe2
_chemical_formula_sum 'La1 Cu1 Si1 Te2'
_cell_length_a 5.4175
_cell_length_b 5.4175
_cell_length_c 4.4298
_cell_angle_alpha 90.00
_cell_angle_beta 90.00
_cell_angle_gamma 90.00
_symmetry_space_group_name_H-M 'P 4/m m m'
_symmetry_Int_Tables_number 123
_symmetry_space_group_name_Hall '-P 4 2'
loop_
_atom_site_label
_atom_site_type_symbol
_atom_site_fract_x
_atom_site_fract_y
_atom_site_fract_z
La1 La 0.0000 0.0000 0.0000
Cu1 Cu 0.5000 0.5000 0.5000
Si1 Si 0.5000 0.5000 0.0000
Te1 Te 0.0000 0.5000 0.5000

# YCr2Cd, optimized geometry, DFT GGA-PBE
# ΔE_f ... 1.95 eV per formula unit
data_YCr2Cd
_chemical_formula_sum 'Y2 Cr4 Cd2'
_cell_length_a 4.3053
_cell_length_b 4.3053
_cell_length_c 8.9525
_cell_angle_alpha 90.00
_cell_angle_beta 90.00
_cell_angle_gamma 90.00
_symmetry_space_group_name_H-M 'I -4 m 2'
_symmetry_Int_Tables_number 119
_symmetry_space_group_name_Hall 'I -4 -2'
loop_
_atom_site_label
_atom_site_type_symbol
_atom_site_fract_x
_atom_site_fract_y
_atom_site_fract_z
Y1 Y 0.0000 0.0000 0.0000
Cr1 Cr 0.0000 0.0000 0.5000
Cr2 Cr 0.0000 0.5000 0.2500
Cd1 Cd 0.0000 0.5000 0.7500

# LiTcBr2, optimized geometry, DFT GGA-PBE
# ΔE_f (raw) ... -0.0325 eV/atom
# Distance to the lowest polymorph of the same formula ... 72 meV/atom
data_LiTcBr2
_chemical_formula_sum 'Li1 Tc1 Br2'
_cell_length_a 3.6479
_cell_length_b 5.4538
_cell_length_c 4.7023
_cell_angle_alpha 90.00
_cell_angle_beta 103.09
_cell_angle_gamma 90.00
_symmetry_space_group_name_H-M 'P 1 m 1'
_symmetry_Int_Tables_number 6
loop_
_symmetry_equiv_pos_as_xyz
'x,y,z'
'x,-y,z'
loop_
_atom_site_label
_atom_site_type_symbol
_atom_site_fract_x
_atom_site_fract_y
_atom_site_fract_z
Li1 Li 0.0000 0.0000 0.0000
Tc1 Tc 0.3512 0.5000 0.6337
Br1 Br 0.3765 0.0000 0.6043
Br2 Br 0.9723 0.5000 0.0855